Mg3Sc3HgPd2: relaxed, PBE.

Geometry as POSCAR:
```
Mg3Sc3HgPd2
1.0
7.4265 0.0000 0.0000
-3.7133 6.4315 0.0000
0.0000 0.0000 3.7740
Mg Sc Hg Pd
3 3 1 2
direct
0.0000 0.2690 0.0000 Mg
0.2690 0.0000 0.0000 Mg
0.7310 0.7310 0.0000 Mg
0.0000 0.5868 0.5000 Sc
0.4132 0.4132 0.5000 Sc
0.5868 0.0000 0.5000 Sc
0.0000 0.0000 0.5000 Hg
0.3333 0.6667 0.0000 Pd
0.6667 0.3333 0.0000 Pd
```

Calculated values
Total DFT energy (no corrections), eV per atom: -4.292
Symmetry: P-62m

Os: relaxed, PBE.

Geometry as POSCAR:
```
Os
1.0
1.7231 0.9948 3.2198
-1.7231 0.9948 3.2198
0.0000 -1.9897 3.2198
Os
2
direct
0.2494 0.2494 0.2494 Os
0.7506 0.7506 0.7506 Os
```

Calculated values
Energy of formation, meV per atom: 1531
Energy above the most stable polymorph in this dataset, meV per atom: 1531
Symmetry: R-3m

Y4CuBiN2: relaxed, PBE.

Geometry as POSCAR:
```
Y4CuBiN2
1.0
3.5710 0.0000 0.0000
-1.7855 3.0926 0.0000
0.0000 0.0000 14.6022
Y Cu Bi N
4 1 1 2
direct
0.0000 0.0000 0.1401 Y
0.0000 0.0000 0.8599 Y
0.3333 0.6667 0.3234 Y
0.3333 0.6667 0.6766 Y
0.3333 0.6667 0.0000 Cu
0.0000 0.0000 0.5000 Bi
0.6667 0.3333 0.2424 N
0.6667 0.3333 0.7576 N
```

Calculated values
Total DFT energy (no corrections), eV per atom: -7.249
Symmetry: P-6m2

CsTb2CuTeSe3: relaxed, PBE.

Geometry as POSCAR:
```
CsTb2CuTeSe3
1.0
2.1343 -7.5207 0.0000
2.1343 7.5207 0.0000
0.0000 0.0000 14.6011
Cs Tb Cu Te Se
2 4 2 2 6
direct
0.1044 0.8956 0.7500 Cs
0.8956 0.1044 0.2500 Cs
0.3575 0.6425 0.5661 Tb
0.3575 0.6425 0.9339 Tb
0.6425 0.3575 0.0661 Tb
0.6425 0.3575 0.4339 Tb
0.1661 0.8339 0.2500 Cu
0.8339 0.1661 0.7500 Cu
0.0000 0.0000 0.0000 Te
0.0000 0.0000 0.5000 Te
0.2605 0.7395 0.1087 Se
0.2605 0.7395 0.3913 Se
0.4191 0.5809 0.7500 Se
0.5809 0.4191 0.2500 Se
0.7395 0.2605 0.6087 Se
0.7395 0.2605 0.8913 Se
```

Calculated values
Energy above the most stable polymorph in this dataset, meV per atom: 0
Symmetry: Cmcm

HfGaNi2: relaxed, PBE.

Geometry as POSCAR:
```
HfGaNi2
1.0
0.0000 3.0548 3.0548
3.0548 0.0000 3.0548
3.0548 3.0548 0.0000
Hf Ga Ni
1 1 2
direct
0.0000 0.0000 0.0000 Hf
0.7500 0.7500 0.7500 Ga
0.2500 0.2500 0.2500 Ni
0.5000 0.5000 0.5000 Ni
```

Calculated values
Total DFT energy (no corrections), eV per atom: -6.348
Symmetry: F-43m

Pr2Nd2Be: relaxed, PBE.

Geometry as POSCAR:
```
Pr2Nd2Be
1.0
4.7802 0.0000 0.0000
-2.3901 4.1398 0.0000
0.0000 0.0000 7.9481
Pr Nd Be
2 2 1
direct
0.3333 0.6667 0.1503 Pr
0.6667 0.3333 0.8497 Pr
0.3333 0.6667 0.6294 Nd
0.6667 0.3333 0.3706 Nd
0.0000 0.0000 0.5000 Be
```

Calculated values
Total DFT energy (no corrections), eV per atom: -4.174
Symmetry: P-3m1

Copy entry 2 word for word.
Os: relaxed, PBE.

Geometry as POSCAR:
```
Os
1.0
1.7231 0.9948 3.2198
-1.7231 0.9948 3.2198
0.0000 -1.9897 3.2198
Os
2
direct
0.2494 0.2494 0.2494 Os
0.7506 0.7506 0.7506 Os
```

Calculated values
Energy of formation, meV per atom: 1531
Energy above the most stable polymorph in this dataset, meV per atom: 1531
Symmetry: R-3m